Entry 1:
A relaxed structure of Te3PtPb, computed with PBE-GGA.

Calculated values
energy above the most stable polymorph in this dataset	0	meV/atom
symmetry	Pm-3m, No. 221

```
Te3PtPb
1.0
5.3638 0.0000 0.0000
0.0000 5.3638 0.0000
0.0000 0.0000 5.3638
Te Pt Pb
3 1 1
Direct
0.0000 0.0000 0.5000 Te
0.0000 0.5000 0.0000 Te
0.5000 0.0000 0.0000 Te
0.0000 0.0000 0.0000 Pt
0.5000 0.5000 0.5000 Pb
```

=====

Entry 2:
A relaxed structure of TePt2Pb2, computed with PBE-GGA.

Calculated values
energy above the most stable polymorph in this dataset	30	meV/atom
symmetry	I4/mmm, No. 139

```
TePt2Pb2
1.0
-1.9449 1.9449 8.4121
1.9449 -1.9449 8.4121
1.9449 1.9449 -8.4121
Te Pt Pb
1 2 2
Direct
0.0000 0.0000 0.0000 Te
0.2500 0.7500 0.5000 Pt
0.7500 0.2500 0.5000 Pt
0.3810 0.3810 0.0000 Pb
0.6190 0.6190 0.0000 Pb
```

=====

Entry 3:
A relaxed structure of TePt2Pb2, computed with PBE-GGA.

Calculated values
energy above the most stable polymorph in this dataset	276	meV/atom
symmetry	P4/mbm, No. 127

```
TePt2Pb2
1.0
8.7554 0.0000 0.0000
0.0000 8.7554 0.0000
0.0000 0.0000 3.1201
Te Pt Pb
2 4 4
Direct
0.0000 0.0000 0.0000 Te
0.5000 0.5000 0.0000 Te
0.1114 0.3886 0.5000 Pt
0.3886 0.8886 0.5000 Pt
0.6114 0.1114 0.5000 Pt
0.8886 0.6114 0.5000 Pt
0.1786 0.6786 0.0000 Pb
0.3214 0.1786 0.0000 Pb
0.6786 0.8214 0.0000 Pb
0.8214 0.3214 0.0000 Pb
```

=====

Entry 4:
A relaxed structure of TePtPb4, computed with PBE-GGA.

Calculated values
symmetry	F-43m, No. 216

```
TePtPb4
1.0
0.0000 4.4849 4.4849
4.4849 0.0000 4.4849
4.4849 4.4849 0.0000
Te Pt Pb
1 1 4
Direct
0.0000 0.0000 0.0000 Te
0.2500 0.2500 0.2500 Pt
0.1269 0.6244 0.6244 Pb
0.6244 0.1269 0.6244 Pb
0.6244 0.6244 0.1269 Pb
0.6244 0.6244 0.6244 Pb
```

=====

Entry 5:
A relaxed structure of TePt3Pb, computed with PBE-GGA.

Calculated values
energy above the most stable polymorph in this dataset	702	meV/atom
symmetry	Pm-3m, No. 221

```
TePt3Pb
1.0
5.0707 0.0000 0.0000
0.0000 5.0707 0.0000
0.0000 0.0000 5.0707
Te Pt Pb
1 3 1
Direct
0.0000 0.0000 0.0000 Te
0.0000 0.5000 0.5000 Pt
0.5000 0.0000 0.5000 Pt
0.5000 0.5000 0.0000 Pt
0.5000 0.5000 0.5000 Pb
```

=====

Entry 6:
A relaxed structure of TePt2Pb2, computed with PBE-GGA.

Calculated values
energy above the most stable polymorph in this dataset	0	meV/atom
symmetry	P4/mbm, No. 127

```
TePt2Pb2
1.0
7.5440 0.0000 0.0000
0.0000 7.5440 0.0000
0.0000 0.0000 4.1173
Te Pt Pb
2 4 4
Direct
0.0000 0.0000 0.0000 Te
0.5000 0.5000 0.0000 Te
0.1351 0.3649 0.0000 Pt
0.3649 0.8649 0.0000 Pt
0.6351 0.1351 0.0000 Pt
0.8649 0.6351 0.0000 Pt
0.1632 0.6632 0.5000 Pb
0.3368 0.1632 0.5000 Pb
0.6632 0.8368 0.5000 Pb
0.8368 0.3368 0.5000 Pb
```

=====

Uncorrected formation energy: 0.092; -0.094; 0.152; 0.483; 1.090; -0.124 (eV per atom)
Size of the total moment: 0.0; 0.0; 0.0; 0.0; 0.0; 0.0 (Bohr magnetons per cell)